No. 1
Compound: Zr4AlAsN2
Source: the Open Quantum Materials Database
Functional: PBE
Structure: relaxed

## Properties
Crystal system = hexagonal
DFT total energy = -68.80 eV for the cell shown
Magnetic moment = 0.0 μB per cell
Space group = P-6m2, No. 187

Cell: 3.3495 3.3495 13.3834 Å, 90.00 90.00 120.00°
Last column: nearest neighbours and their distance in Å.
Atoms (fractional coordinates):
Al 0.0000 0.0000 0.0000  6 Zr 2.98
As 0.6667 0.3333 0.5000  6 Zr 2.73
N 0.3333 0.6667 0.2609  6 Zr 2.29-2.32
N 0.3333 0.6667 0.7391  6 Zr 2.29-2.32
Zr 0.6667 0.3333 0.1697  3 N 2.29
Zr 0.0000 0.0000 0.3563  3 N 2.32
Zr 0.0000 0.0000 0.6437  3 N 2.32
Zr 0.6667 0.3333 0.8303  3 N 2.29

=====

No. 2
Compound: GdYLu2
Source: the Open Quantum Materials Database
Functional: PBE
Structure: relaxed

## Properties
Crystal system = orthorhombic
DFT total energy = -40.29 eV for the cell shown
Magnetic moment = 0.2 μB per cell
DFT formation energy = 1 kJ/mol of atoms
Space group = Ama2, No. 40

Cell: 5.5758 7.1681 7.1681 Å, 119.99 90.00 90.00°
Last column: nearest neighbours and their distance in Å.
Atoms (fractional coordinates):
Gd 0.7500 0.6673 0.3332  8 Lu 3.47-3.59, 4 Y 3.48-3.59
Gd 0.2500 0.3332 0.6673  8 Lu 3.47-3.59, 4 Y 3.48-3.59
Lu 0.2500 0.8336 0.1657  4 Lu 3.46-3.60, 4 Y 3.47-3.60, 4 Gd 3.47-3.59
Lu 0.2500 0.8346 0.6684  6 Lu 3.46-3.60, 4 Gd 3.48-3.59, 2 Y 3.56-3.61
Lu 0.7500 0.1657 0.8336  4 Lu 3.46-3.60, 4 Y 3.47-3.60, 4 Gd 3.47-3.59
Lu 0.7500 0.6684 0.8346  6 Lu 3.46-3.60, 4 Gd 3.48-3.59, 2 Y 3.56-3.61
Y 0.2500 0.3319 0.1653  6 Lu 3.47-3.61, 2 Y 3.47, 4 Gd 3.48-3.59
Y 0.7500 0.1653 0.3319  6 Lu 3.47-3.61, 2 Y 3.47, 4 Gd 3.48-3.59

=====

No. 3
Compound: Hf2CS
Source: the Open Quantum Materials Database
Functional: PBE
Structure: relaxed

## Properties
Crystal system = hexagonal
DFT total energy = -231.79 eV for the cell shown
Magnetic moment = 0.0 μB per cell
Space group = P6_3/mmc, No. 194

Cell: 5.8391 5.8391 12.5446 Å, 103.47 103.47 59.97°
Last column: nearest neighbours and their distance in Å.
Atoms (fractional coordinates):
C 0.6670 0.1663 0.0000  6 Hf 2.29
C 0.0000 0.5000 0.0000  6 Hf 2.29
C 0.3330 0.8337 0.0000  6 Hf 2.29
C 0.1663 0.6670 0.5000  6 Hf 2.29
C 0.5000 0.0000 0.5000  6 Hf 2.29
C 0.8337 0.3330 0.5000  6 Hf 2.29
Hf 0.3664 0.5334 0.0999  3 C 2.29
Hf 0.0329 0.2005 0.1000  3 C 2.29
Hf 0.6995 0.8669 0.1001  3 C 2.29
Hf 0.1331 0.3005 0.3999  3 C 2.29
Hf 0.7995 0.9671 0.4000  3 C 2.29
Hf 0.4666 0.6336 0.4001  3 C 2.29
Hf 0.5334 0.3664 0.5999  3 C 2.29
Hf 0.2005 0.0329 0.6000  3 C 2.29
Hf 0.8669 0.6995 0.6001  3 C 2.29
Hf 0.3005 0.1331 0.8999  3 C 2.29
Hf 0.9671 0.7995 0.9000  3 C 2.29
Hf 0.6336 0.4666 0.9001  3 C 2.29
S 0.4158 0.2508 0.2500  6 Hf 2.66
S 0.0831 0.9169 0.2500  6 Hf 2.66
S 0.7492 0.5842 0.2500  6 Hf 2.66
S 0.2508 0.4158 0.7500  6 Hf 2.66
S 0.9169 0.0831 0.7500  6 Hf 2.66
S 0.5842 0.7492 0.7500  6 Hf 2.66

=====

No. 4
Compound: ScNbTc2
Source: the Open Quantum Materials Database
Functional: PBE
Structure: relaxed

## Properties
Crystal system = orthorhombic
DFT total energy = -148.01 eV for the cell shown
Magnetic moment = 0.0 μB per cell
DFT formation energy = 3 kJ/mol of atoms
Space group = Pnma, No. 62

Cell: 5.6510 4.7173 10.2454 Å, 90.00 90.00 90.00°
Last column: nearest neighbours and their distance in Å.
Atoms (fractional coordinates):
Nb 0.3452 0.2500 0.0761  4 Tc 2.57-2.80, 2 Sc 2.79-2.86
Nb 0.8452 0.7500 0.4239  4 Tc 2.57-2.80, 2 Sc 2.79-2.86
Nb 0.1548 0.2500 0.5761  4 Tc 2.57-2.80, 2 Sc 2.79-2.86
Nb 0.6548 0.7500 0.9239  4 Tc 2.57-2.80, 2 Sc 2.79-2.86
Sc 0.8395 0.2500 0.0681  6 Tc 2.78-3.07, 4 Nb 2.79-2.97
Sc 0.3395 0.7500 0.4319  6 Tc 2.78-3.07, 4 Nb 2.79-2.97
Sc 0.6605 0.2500 0.5681  6 Tc 2.78-3.07, 4 Nb 2.79-2.97
Sc 0.1605 0.7500 0.9319  6 Tc 2.78-3.07, 4 Nb 2.79-2.97
Tc 0.5480 0.7500 0.1726  3 Tc 2.52-2.78, 3 Nb 2.62-2.80
Tc 0.9930 0.7500 0.1868  3 Tc 2.52-2.78, 1 Nb 2.57, 3 Sc 2.78-2.79
Tc 0.4930 0.2500 0.3132  3 Tc 2.52-2.78, 1 Nb 2.57, 3 Sc 2.78-2.79
Tc 0.0480 0.2500 0.3274  3 Tc 2.52-2.78, 3 Nb 2.62-2.80
Tc 0.9520 0.7500 0.6726  3 Tc 2.52-2.78, 3 Nb 2.62-2.80
Tc 0.5070 0.7500 0.6868  3 Tc 2.52-2.78, 1 Nb 2.57, 3 Sc 2.78-2.79
Tc 0.0070 0.2500 0.8132  3 Tc 2.52-2.78, 1 Nb 2.57, 3 Sc 2.78-2.79
Tc 0.4520 0.2500 0.8274  3 Tc 2.52-2.78, 3 Nb 2.62-2.80

=====

No. 5
Compound: RbGdSO
Source: the Open Quantum Materials Database
Functional: PBE
Structure: relaxed

## Properties
Crystal system = trigonal
DFT total energy = -23.40 eV for the cell shown
Magnetic moment = 0.0 μB per cell
Space group = R3m, No. 160

Cell: 7.5256 7.5256 7.5256 Å, 29.09 29.09 29.09°
Last column: nearest neighbours and their distance in Å.
Atoms (fractional coordinates):
Gd 0.5121 0.5121 0.5121  3 O 2.39
O 0.2240 0.2240 0.2240  3 Gd 2.39
Rb 0.9959 0.9959 0.9959  3 O 3.15, 3 S 3.15
S 0.7679 0.7679 0.7679  3 Gd 2.75

=====

No. 6
Compound: Al13Co16
Source: the Open Quantum Materials Database
Functional: PBE
Structure: relaxed

## Properties
Crystal system = cubic
DFT total energy = -166.70 eV for the cell shown
Magnetic moment = 16.0 μB per cell
Space group = I-43m, No. 217

Cell: 7.7360 7.7360 7.7360 Å, 109.47 109.47 109.47°
Last column: nearest neighbours and their distance in Å.
Atoms (fractional coordinates):
Al 0.0000 0.0000 0.0000  4 Co 2.61
Al 0.4011 0.2049 0.0000  5 Co 2.32-2.51, 3 Al 2.48-2.59
Al 0.2049 0.4011 0.0000  5 Co 2.32-2.51, 3 Al 2.48-2.59
Al 0.7951 0.7951 0.1962  5 Co 2.32-2.51, 3 Al 2.48-2.59
Al 0.4011 0.0000 0.2049  5 Co 2.32-2.51, 3 Al 2.48-2.59
Al 0.0000 0.4011 0.2049  5 Co 2.32-2.51, 3 Al 2.48-2.59
Al 0.2049 0.0000 0.4011  5 Co 2.32-2.51, 3 Al 2.48-2.59
Al 0.0000 0.2049 0.4011  5 Co 2.32-2.51, 3 Al 2.48-2.59
Al 0.8038 0.5989 0.5989  5 Co 2.32-2.51, 3 Al 2.48-2.59
Al 0.5989 0.8038 0.5989  5 Co 2.32-2.51, 3 Al 2.48-2.59
Al 0.7951 0.1962 0.7951  5 Co 2.32-2.51, 3 Al 2.48-2.59
Al 0.1962 0.7951 0.7951  5 Co 2.32-2.51, 3 Al 2.48-2.59
Al 0.5989 0.5989 0.8038  5 Co 2.32-2.51, 3 Al 2.48-2.59
Co 0.6628 0.0000 0.0000  3 Co 2.49, 7 Al 2.61-2.74
Co 0.6960 0.4148 0.0000  5 Al 2.32-2.51, 1 Co 2.49
Co 0.0000 0.6628 0.0000  3 Co 2.49, 7 Al 2.61-2.74
Co 0.4148 0.6960 0.0000  5 Al 2.32-2.51, 1 Co 2.49
Co 0.5852 0.5852 0.2812  5 Al 2.32-2.51, 1 Co 2.49
Co 0.3040 0.7188 0.3040  5 Al 2.32-2.51, 1 Co 2.49
Co 0.7188 0.3040 0.3040  5 Al 2.32-2.51, 1 Co 2.49
Co 0.3372 0.3372 0.3372  3 Co 2.49, 7 Al 2.61-2.74
Co 0.6960 0.0000 0.4148  5 Al 2.32-2.51, 1 Co 2.49
Co 0.0000 0.6960 0.4148  5 Al 2.32-2.51, 1 Co 2.49
Co 0.5852 0.2812 0.5852  5 Al 2.32-2.51, 1 Co 2.49
Co 0.2812 0.5852 0.5852  5 Al 2.32-2.51, 1 Co 2.49
Co 0.0000 0.0000 0.6628  3 Co 2.49, 7 Al 2.61-2.74
Co 0.4148 0.0000 0.6960  5 Al 2.32-2.51, 1 Co 2.49
Co 0.0000 0.4148 0.6960  5 Al 2.32-2.51, 1 Co 2.49
Co 0.3040 0.3040 0.7188  5 Al 2.32-2.51, 1 Co 2.49

=====

No. 7
Compound: Mg2HgPd
Source: the Open Quantum Materials Database
Functional: PBE
Structure: relaxed

## Properties
Crystal system = cubic
DFT total energy = -9.93 eV for the cell shown
Space group = F-43m, No. 216

Cell: 4.6888 4.6888 4.6888 Å, 60.00 60.00 60.00°
Last column: nearest neighbours and their distance in Å.
Atoms (fractional coordinates):
Hg 0.5000 0.5000 0.5000  4 Pd 2.87, 4 Mg 2.87
Mg 0.0000 0.0000 0.0000  4 Pd 2.87, 4 Mg 2.87
Mg 0.2500 0.2500 0.2500  4 Hg 2.87, 4 Mg 2.87
Pd 0.7500 0.7500 0.7500  4 Hg 2.87, 4 Mg 2.87

=====

No. 8
Compound: Dy2Ho3Er3
Source: the Open Quantum Materials Database
Functional: PBE
Structure: relaxed

## Properties
Crystal system = hexagonal
DFT total energy = -36.60 eV for the cell shown
Magnetic moment = 0.3 μB per cell
DFT formation energy = 0 kJ/mol of atoms
Space group = P-6m2, No. 187

Cell: 7.1625 7.1625 5.5852 Å, 90.00 90.00 120.00°
Last column: nearest neighbours and their distance in Å.
Atoms (fractional coordinates):
Dy 0.0000 0.0000 0.0000  6 Er 3.48, 6 Ho 3.58
Dy 0.3333 0.6667 0.5000  6 Ho 3.48, 6 Er 3.58
Er 0.3341 0.1671 0.5000  4 Ho 3.47, 4 Dy 3.48-3.58, 4 Er 3.57-3.59
Er 0.8329 0.1671 0.5000  4 Ho 3.47, 4 Dy 3.48-3.58, 4 Er 3.57-3.59
Er 0.8329 0.6659 0.5000  4 Ho 3.47, 4 Dy 3.48-3.58, 4 Er 3.57-3.59
Ho 0.5004 0.0008 0.0000  4 Er 3.47, 4 Dy 3.48-3.58, 4 Ho 3.57-3.59
Ho 0.5004 0.4996 0.0000  4 Er 3.47, 4 Dy 3.48-3.58, 4 Ho 3.57-3.59
Ho 0.9992 0.4996 0.0000  4 Er 3.47, 4 Dy 3.48-3.58, 4 Ho 3.57-3.59

=====

No. 9
Compound: Sm2Y2CICl4
Source: the Open Quantum Materials Database
Functional: PBE
Structure: relaxed

## Properties
Crystal system = monoclinic
DFT total energy = -56.41 eV for the cell shown
Magnetic moment = 0.0 μB per cell
Space group = C2/m, No. 12

Cell: 8.8004 8.8004 8.7181 Å, 104.27 104.27 25.39°
Last column: nearest neighbours and their distance in Å.
Atoms (fractional coordinates):
C 0.5000 0.5000 0.0000  2 Y 2.40, 4 Sm 2.57
Cl 0.8275 0.8275 0.1322  3 Y 2.78-3.06, 1 Sm 2.87
Cl 0.1697 0.1697 0.3035  2 Y 2.73, 1 Sm 2.83
Cl 0.8303 0.8303 0.6965  2 Y 2.73, 1 Sm 2.83
Cl 0.1725 0.1725 0.8678  3 Y 2.78-3.06, 1 Sm 2.87
I 0.5000 0.5000 0.5000  4 Sm 3.29
Sm 0.0000 0.0000 0.1944  2 C 2.57, 2 Cl 2.83-2.87
Sm 0.0000 0.0000 0.8056  2 C 2.57, 2 Cl 2.83-2.87
Y 0.6443 0.6443 0.0760  1 C 2.40
Y 0.3557 0.3557 0.9240  1 C 2.40

=====

No. 10
Compound: RbAlTlAu
Source: the Open Quantum Materials Database
Functional: PBE
Structure: relaxed

## Properties
Crystal system = cubic
DFT total energy = -9.26 eV for the cell shown
Space group = F-43m, No. 216

Cell: 5.3848 5.3848 5.3848 Å, 60.00 60.00 60.00°
Last column: nearest neighbours and their distance in Å.
Atoms (fractional coordinates):
Al 0.2500 0.2500 0.2500  4 Tl 3.30, 4 Rb 3.30
Au 0.7500 0.7500 0.7500  4 Rb 3.30, 4 Tl 3.30
Rb 0.5000 0.5000 0.5000  4 Au 3.30, 4 Al 3.30
Tl 0.0000 0.0000 0.0000  4 Au 3.30, 4 Al 3.30

=====

No. 11
Compound: NbTlNiHg
Source: the Open Quantum Materials Database
Functional: PBE
Structure: relaxed

## Properties
Crystal system = cubic
DFT total energy = -16.33 eV for the cell shown
Magnetic moment = 0.3 μB per cell
Space group = F-43m, No. 216

Cell: 4.7228 4.7228 4.7228 Å, 60.00 60.00 60.00°
Last column: nearest neighbours and their distance in Å.
Atoms (fractional coordinates):
Hg 0.5000 0.5000 0.5000  4 Nb 2.89, 4 Ni 2.89
Nb 0.2500 0.2500 0.2500  4 Hg 2.89, 4 Tl 2.89
Ni 0.7500 0.7500 0.7500  4 Tl 2.89, 4 Hg 2.89
Tl 0.0000 0.0000 0.0000  4 Ni 2.89, 4 Nb 2.89